# 1
Li3Sb5: optimized geometry, PBE.

The structure in CIF format:
```
data_Li3Sb5
_cell_length_a 8.5693
_cell_length_b 8.5693
_cell_length_c 6.1005
_cell_angle_alpha 90.00
_cell_angle_beta 90.00
_cell_angle_gamma 120.00
_symmetry_space_group_name_H-M 'P 63/m c m'
_symmetry_Int_Tables_number 193
_symmetry_space_group_name_Hall '-P 6c 2'
loop_
_atom_site_label
_atom_site_type_symbol
_atom_site_fract_x
_atom_site_fract_y
_atom_site_fract_z
_atom_site_occupancy
Li1 Li 0.0000 0.4284 0.2500 1
Sb1 Sb 0.0000 0.1994 0.7500 1
Sb2 Sb 0.3333 0.6667 0.0000 1
```

Results
Raw formation energy (kJ per mole of atoms): -16
Calculated volume (Å³/atom): 24.25
Energy relative to the lowest polymorph listed for this composition (eV per formula unit): 0.47
Magnetization (μB/atom): 0.000

---

# 2
YEr3Tl4Te8: optimized geometry, PBE.

The structure in CIF format:
```
data_YEr3Tl4Te8
_cell_length_a 8.8632
_cell_length_b 8.8632
_cell_length_c 24.5586
_cell_angle_alpha 90.00
_cell_angle_beta 90.00
_cell_angle_gamma 120.00
_symmetry_space_group_name_H-M 'R -3 m'
_symmetry_Int_Tables_number 166
_symmetry_space_group_name_Hall '-R 3 2"'
loop_
_atom_site_label
_atom_site_type_symbol
_atom_site_fract_x
_atom_site_fract_y
_atom_site_fract_z
_atom_site_occupancy
Y1 Y 0.0000 0.0000 0.0000 1
Er1 Er 0.0000 0.5000 0.0000 1
Tl1 Tl 0.0000 0.0000 0.5000 1
Tl2 Tl 0.0000 0.5000 0.5000 1
Te1 Te 0.0000 0.0000 0.2630 1
Te2 Te 0.0020 0.5010 0.2626 1
```

Results
Raw formation energy (kJ per mole of atoms): -101
Calculated volume (Å³/atom): 34.81
Magnetization (μB/atom): 0.000